VASP calculation (PBE-GGA) on a relaxed structure of Nd6PdRu2I3.

```
data_Nd6PdRu2I3
_chemical_formula_sum 'Nd12 Pd2 Ru4 I6'
_cell_length_a 7.248
_cell_length_b 12.551
_cell_length_c 8.537
_cell_angle_alpha 90.00
_cell_angle_beta 106.41
_cell_angle_gamma 90.00
_space_group_name_H-M_alt 'C 1 2/m 1'
_space_group_IT_number 12
_space_group_name_Hall '-C 2y'
loop_
_atom_site_label
_atom_site_type_symbol
_atom_site_fract_x
_atom_site_fract_y
_atom_site_fract_z
Nd1 Nd 0.214 0.000 0.186
Nd2 Nd 0.237 0.326 0.187
Pd1 Pd 0.000 0.500 0.000
Ru1 Ru 0.000 0.167 0.000
I1 I 0.000 0.000 0.500
I2 I 0.000 0.333 0.500
```

**Volume**: 31.04 Å³/atom
**Raw formation energy**: -0.76 eV per atom
**Total energy**: -5.5095 eV/atom
**Theoretical density**: 6.9 g cm⁻³

VASP calculation (PBE-GGA) on a relaxed structure of Nd8PdRu3I4.

```
data_Nd8PdRu3I4
_chemical_formula_sum 'Nd16 Pd2 Ru6 I8'
_cell_length_a 14.484
_cell_length_b 8.348
_cell_length_c 9.503
_cell_angle_alpha 90.00
_cell_angle_beta 120.60
_cell_angle_gamma 90.00
_space_group_name_H-M_alt 'C 1 2/m 1'
_space_group_IT_number 12
_space_group_name_Hall '-C 2y'
loop_
_atom_site_label
_atom_site_type_symbol
_atom_site_fract_x
_atom_site_fract_y
_atom_site_fract_z
Nd1 Nd 0.025 0.240 0.314
Nd2 Nd 0.229 0.000 0.688
Nd3 Nd 0.235 0.500 0.686
Pd1 Pd 0.000 0.500 0.500
Ru1 Ru 0.000 0.000 0.500
Ru2 Ru 0.250 0.250 0.500
I1 I 0.000 0.000 0.000
I2 I 0.000 0.500 0.000
I3 I 0.250 0.250 0.000
```

**Volume**: 30.90 Å³/atom
**Raw formation energy**: -0.72 eV per atom
**Total energy**: -5.5533 eV/atom
**Theoretical density**: 7.0 g cm⁻³

VASP calculation (PBE-GGA) on a relaxed structure of Nd4PdSeI2.

```
data_Nd4PdSeI2
_chemical_formula_sum 'Nd4 Pd1 Se1 I2'
_cell_length_a 7.639
_cell_length_b 4.183
_cell_length_c 8.098
_cell_angle_alpha 90.00
_cell_angle_beta 106.91
_cell_angle_gamma 90.00
_space_group_name_H-M_alt 'P 1 2/m 1'
_space_group_IT_number 10
_space_group_name_Hall '-P 2y'
loop_
_atom_site_label
_atom_site_type_symbol
_atom_site_fract_x
_atom_site_fract_y
_atom_site_fract_z
Nd1 Nd 0.217 0.000 0.197
Nd2 Nd 0.269 0.500 0.797
Pd1 Pd 0.000 0.500 0.000
Se1 Se 0.500 0.000 0.000
I1 I 0.000 0.000 0.500
I2 I 0.500 0.500 0.500
```

**Volume**: 30.95 Å³/atom
**Raw formation energy**: -1.10 eV per atom
**Total energy**: -4.9572 eV/atom
**Theoretical density**: 6.8 g cm⁻³

VASP calculation (PBE-GGA) on a relaxed structure of Nd6SiPd2I3.

```
data_Nd6SiPd2I3
_chemical_formula_sum 'Nd12 Si2 Pd4 I6'
_cell_length_a 7.471
_cell_length_b 12.928
_cell_length_c 8.202
_cell_angle_alpha 90.00
_cell_angle_beta 107.63
_cell_angle_gamma 90.00
_space_group_name_H-M_alt 'C 1 2/m 1'
_space_group_IT_number 12
_space_group_name_Hall '-C 2y'
loop_
_atom_site_label
_atom_site_type_symbol
_atom_site_fract_x
_atom_site_fract_y
_atom_site_fract_z
Nd1 Nd 0.230 0.000 0.196
Nd2 Nd 0.234 0.333 0.197
Si1 Si 0.000 0.500 0.000
Pd1 Pd 0.000 0.167 0.000
I1 I 0.000 0.000 0.500
I2 I 0.000 0.338 0.500
```

**Volume**: 31.46 Å³/atom
**Raw formation energy**: -0.84 eV per atom
**Total energy**: -4.9308 eV/atom
**Theoretical density**: 6.5 g cm⁻³

VASP calculation (PBE-GGA) on a relaxed structure of PmNdI.

```
data_PmNdI
_chemical_formula_sum 'Pm1 Nd1 I1'
_cell_length_a 3.9301
_cell_length_b 3.9301
_cell_length_c 7.8368
_cell_angle_alpha 90.00
_cell_angle_beta 90.00
_cell_angle_gamma 120.00
_space_group_name_H-M_alt 'P 3 m 1'
_space_group_IT_number 156
_space_group_name_Hall 'P 3 -2"'
loop_
_atom_site_label
_atom_site_type_symbol
_atom_site_fract_x
_atom_site_fract_y
_atom_site_fract_z
Pm1 Pm 0.0000 0.0000 0.0000
Nd1 Nd 0.3333 0.6667 0.6436
I1 I 0.6667 0.3333 0.3189
```

**Volume**: 34.94 Å³/atom
**Raw formation energy**: -0.55 eV per atom
**Energy above the most stable polymorph in this dataset**: 0 meV/atom
**Total energy**: -4.2415 eV/atom
**Theoretical density**: 6.6 g cm⁻³

VASP calculation (PBE-GGA) on a relaxed structure of PmNd2I.

```
data_PmNd2I
_chemical_formula_sum 'Pm1 Nd2 I1'
_cell_length_a 3.730
_cell_length_b 3.730
_cell_length_c 9.821
_cell_angle_alpha 90.00
_cell_angle_beta 90.00
_cell_angle_gamma 90.00
_space_group_name_H-M_alt 'P 4/m m m'
_space_group_IT_number 123
_space_group_name_Hall '-P 4 2'
loop_
_atom_site_label
_atom_site_type_symbol
_atom_site_fract_x
_atom_site_fract_y
_atom_site_fract_z
Pm1 Pm 0.000 0.000 0.000
Nd1 Nd 0.500 0.500 0.259
I1 I 0.000 0.000 0.500
```

**Volume**: 34.16 Å³/atom
**Raw formation energy**: -0.34 eV per atom
**Energy above the most stable polymorph in this dataset**: 58 meV/atom
**Total energy**: -4.3041 eV/atom
**Theoretical density**: 6.8 g cm⁻³

VASP calculation (PBE-GGA) on a relaxed structure of PmNdI2.

```
data_PmNdI2
_chemical_formula_sum 'Pm3 Nd3 I6'
_cell_length_a 3.8930
_cell_length_b 3.8930
_cell_length_c 29.0943
_cell_angle_alpha 90.00
_cell_angle_beta 90.00
_cell_angle_gamma 120.00
_space_group_name_H-M_alt 'R 3 m'
_space_group_IT_number 160
_space_group_name_Hall 'R 3 -2"'
loop_
_atom_site_label
_atom_site_type_symbol
_atom_site_fract_x
_atom_site_fract_y
_atom_site_fract_z
Pm1 Pm 0.0000 0.0000 0.0000
Nd1 Nd 0.0000 0.0000 0.1630
I1 I 0.0000 0.0000 0.5823
I2 I 0.0000 0.0000 0.7473
```

**Volume**: 31.82 Å³/atom
**Raw formation energy**: -0.86 eV per atom
**Energy above the most stable polymorph in this dataset**: 0 meV/atom
**Total energy**: -4.0136 eV/atom
**Theoretical density**: 7.1 g cm⁻³

VASP calculation (PBE-GGA) on a relaxed structure of PmNdI6.

```
data_PmNdI6
_chemical_formula_sum 'Pm2 Nd2 I12'
_cell_length_a 7.677
_cell_length_b 14.723
_cell_length_c 7.676
_cell_angle_alpha 90.00
_cell_angle_beta 108.04
_cell_angle_gamma 90.00
_space_group_name_H-M_alt 'C 1 2/m 1'
_space_group_IT_number 12
_space_group_name_Hall '-C 2y'
loop_
_atom_site_label
_atom_site_type_symbol
_atom_site_fract_x
_atom_site_fract_y
_atom_site_fract_z
Pm1 Pm 0.000 0.000 0.000
Nd1 Nd 0.000 0.500 0.500
I1 I 0.248 0.147 0.249
I2 I 0.249 0.000 0.750
```

**Volume**: 51.56 Å³/atom
**Raw formation energy**: -1.37 eV per atom
**Energy above the most stable polymorph in this dataset**: 0 meV/atom
**Total energy**: -3.7262 eV/atom
**Theoretical density**: 4.2 g cm⁻³

VASP calculation (PBE-GGA) on a relaxed structure of PmNd2I6.

```
data_PmNd2I6
_chemical_formula_sum 'Pm2 Nd4 I12'
_cell_length_a 7.996
_cell_length_b 7.996
_cell_length_c 12.111
_cell_angle_alpha 90.00
_cell_angle_beta 90.00
_cell_angle_gamma 90.00
_space_group_name_H-M_alt 'P 42/m n m'
_space_group_IT_number 136
_space_group_name_Hall '-P 4n 2n'
loop_
_atom_site_label
_atom_site_type_symbol
_atom_site_fract_x
_atom_site_fract_y
_atom_site_fract_z
Pm1 Pm 0.000 0.000 0.000
Nd1 Nd 0.000 0.000 0.335
I1 I 0.215 0.215 0.166
I2 I 0.219 0.219 0.500
```

**Volume**: 43.02 Å³/atom
**Raw formation energy**: -1.18 eV per atom
**Energy above the most stable polymorph in this dataset**: 110 meV/atom
**Total energy**: -3.8012 eV/atom
**Theoretical density**: 5.1 g cm⁻³

VASP calculation (PBE-GGA) on a relaxed structure of Pm2NdI.

```
data_Pm2NdI
_chemical_formula_sum 'Pm2 Nd1 I1'
_cell_length_a 3.718
_cell_length_b 3.718
_cell_length_c 9.793
_cell_angle_alpha 90.00
_cell_angle_beta 90.00
_cell_angle_gamma 90.00
_space_group_name_H-M_alt 'P 4/m m m'
_space_group_IT_number 123
_space_group_name_Hall '-P 4 2'
loop_
_atom_site_label
_atom_site_type_symbol
_atom_site_fract_x
_atom_site_fract_y
_atom_site_fract_z
Pm1 Pm 0.000 0.000 0.240
Nd1 Nd 0.500 0.500 0.500
I1 I 0.500 0.500 0.000
```

**Volume**: 33.84 Å³/atom
**Raw formation energy**: -0.33 eV per atom
**Energy above the most stable polymorph in this dataset**: 39 meV/atom
**Total energy**: -4.2884 eV/atom
**Theoretical density**: 6.9 g cm⁻³

VASP calculation (PBE-GGA) on a relaxed structure of Pm2NdI8.

```
data_Pm2NdI8
_chemical_formula_sum 'Pm4 Nd2 I16'
_cell_length_a 19.485
_cell_length_b 8.891
_cell_length_c 7.484
_cell_angle_alpha 90.00
_cell_angle_beta 96.05
_cell_angle_gamma 90.00
_space_group_name_H-M_alt 'C 1 2/m 1'
_space_group_IT_number 12
_space_group_name_Hall '-C 2y'
loop_
_atom_site_label
_atom_site_type_symbol
_atom_site_fract_x
_atom_site_fract_y
_atom_site_fract_z
Pm1 Pm 0.145 0.000 0.420
Nd1 Nd 0.000 0.000 0.000
I1 I 0.061 0.260 0.261
I2 I 0.143 0.000 0.826
I3 I 0.211 0.500 0.657
```

**Volume**: 58.61 Å³/atom
**Raw formation energy**: -1.25 eV per atom
**Total energy**: -3.6703 eV/atom
**Theoretical density**: 3.7 g cm⁻³

VASP calculation (PBE-GGA) on a relaxed structure of PmNd2I.

```
data_PmNd2I
_chemical_formula_sum 'Pm3 Nd6 I3'
_cell_length_a 3.8299
_cell_length_b 3.8299
_cell_length_c 32.5088
_cell_angle_alpha 90.00
_cell_angle_beta 90.00
_cell_angle_gamma 120.00
_space_group_name_H-M_alt 'R -3 m'
_space_group_IT_number 166
_space_group_name_Hall '-R 3 2"'
loop_
_atom_site_label
_atom_site_type_symbol
_atom_site_fract_x
_atom_site_fract_y
_atom_site_fract_z
Pm1 Pm 0.0000 0.0000 0.0000
Nd1 Nd 0.0000 0.0000 0.2448
I1 I 0.0000 0.0000 0.5000
```

**Volume**: 34.41 Å³/atom
**Raw formation energy**: -0.40 eV per atom
**Energy above the most stable polymorph in this dataset**: 0 meV/atom
**Total energy**: -4.3619 eV/atom
**Theoretical density**: 6.8 g cm⁻³

VASP calculation (PBE-GGA) on a relaxed structure of PmNd2I.

```
data_PmNd2I
_chemical_formula_sum 'Pm3 Nd6 I3'
_cell_length_a 3.8495
_cell_length_b 3.8495
_cell_length_c 32.5191
_cell_angle_alpha 90.00
_cell_angle_beta 90.00
_cell_angle_gamma 120.00
_space_group_name_H-M_alt 'R 3 m'
_space_group_IT_number 160
_space_group_name_Hall 'R 3 -2"'
loop_
_atom_site_label
_atom_site_type_symbol
_atom_site_fract_x
_atom_site_fract_y
_atom_site_fract_z
Pm1 Pm 0.0000 0.0000 0.0000
Nd1 Nd 0.0000 0.0000 0.5781
Nd2 Nd 0.0000 0.0000 0.7558
I1 I 0.0000 0.0000 0.1667
```

**Volume**: 34.78 Å³/atom
**Raw formation energy**: -0.38 eV per atom
**Energy above the most stable polymorph in this dataset**: 20 meV/atom
**Total energy**: -4.3419 eV/atom
**Theoretical density**: 6.7 g cm⁻³